# Ti4TlMo, optimized geometry, DFT PBE-GGA
data_Ti4TlMo
_chemical_formula_sum 'Ti8 Tl2 Mo2'
_symmetry_space_group_name_H-M 'P 1'
_symmetry_Int_Tables_number 1
_cell_length_a 7.837
_cell_length_b 4.508
_cell_length_c 7.576
_cell_angle_alpha 90.00
_cell_angle_beta 110.09
_cell_angle_gamma 90.00
loop_
_symmetry_equiv_pos_as_xyz
'x,y,z'
loop_
_atom_site_label
_atom_site_type_symbol
_atom_site_fract_x
_atom_site_fract_y
_atom_site_fract_z
Ti1 Ti 0.113 0.000 0.337
Ti2 Ti 0.135 0.500 0.905
Ti3 Ti 0.365 0.000 0.095
Ti4 Ti 0.387 0.500 0.663
Ti5 Ti 0.613 0.500 0.337
Ti6 Ti 0.635 0.000 0.905
Ti7 Ti 0.865 0.500 0.095
Ti8 Ti 0.887 0.000 0.663
Tl1 Tl 0.000 0.500 0.500
Tl2 Tl 0.500 0.000 0.500
Mo1 Mo 0.000 0.000 0.000
Mo2 Mo 0.500 0.500 0.000
# Spin magnetization   0.00 μB/f.u.
# Total DFT energy (no corrections)   -7.02 eV per atom
# Energy above the most stable polymorph in this dataset   46.5 kJ/mol of atoms

# TiTl2Mo, optimized geometry, DFT PBE-GGA
data_TiTl2Mo
_chemical_formula_sum 'Ti4 Tl8 Mo4'
_symmetry_space_group_name_H-M 'P 1'
_symmetry_Int_Tables_number 1
_cell_length_a 6.771
_cell_length_b 6.771
_cell_length_c 6.771
_cell_angle_alpha 90.00
_cell_angle_beta 90.00
_cell_angle_gamma 90.00
loop_
_symmetry_equiv_pos_as_xyz
'x,y,z'
loop_
_atom_site_label
_atom_site_type_symbol
_atom_site_fract_x
_atom_site_fract_y
_atom_site_fract_z
Ti1 Ti 0.000 0.000 0.000
Ti2 Ti 0.000 0.500 0.500
Ti3 Ti 0.500 0.000 0.500
Ti4 Ti 0.500 0.500 0.000
Tl1 Tl 0.250 0.250 0.250
Tl2 Tl 0.250 0.250 0.750
Tl3 Tl 0.250 0.750 0.250
Tl4 Tl 0.250 0.750 0.750
Tl5 Tl 0.750 0.250 0.250
Tl6 Tl 0.750 0.250 0.750
Tl7 Tl 0.750 0.750 0.250
Tl8 Tl 0.750 0.750 0.750
Mo1 Mo 0.000 0.000 0.500
Mo2 Mo 0.000 0.500 0.000
Mo3 Mo 0.500 0.000 0.000
Mo4 Mo 0.500 0.500 0.500
# Spin magnetization   0.00 μB/f.u.
# Total DFT energy (no corrections)   -5.29 eV per atom
# Energy above the most stable polymorph in this dataset   0.0 kJ/mol of atoms

# TiTlMo3, optimized geometry, DFT PBE-GGA
data_TiTlMo3
_chemical_formula_sum 'Ti1 Tl1 Mo3'
_symmetry_space_group_name_H-M 'P 1'
_symmetry_Int_Tables_number 1
_cell_length_a 4.625
_cell_length_b 4.625
_cell_length_c 4.625
_cell_angle_alpha 90.00
_cell_angle_beta 90.00
_cell_angle_gamma 90.00
loop_
_symmetry_equiv_pos_as_xyz
'x,y,z'
loop_
_atom_site_label
_atom_site_type_symbol
_atom_site_fract_x
_atom_site_fract_y
_atom_site_fract_z
Ti1 Ti 0.000 0.000 0.000
Tl1 Tl 0.500 0.500 0.500
Mo1 Mo 0.000 0.000 0.500
Mo2 Mo 0.000 0.500 0.000
Mo3 Mo 0.500 0.000 0.000
# Spin magnetization   0.00 μB/f.u.
# Total DFT energy (no corrections)   -7.15 eV per atom
# Energy above the most stable polymorph in this dataset   0.0 kJ/mol of atoms

# TiTlMo2, optimized geometry, DFT PBE-GGA
data_TiTlMo2
_chemical_formula_sum 'Ti4 Tl4 Mo8'
_symmetry_space_group_name_H-M 'P 1'
_symmetry_Int_Tables_number 1
_cell_length_a 3.899
_cell_length_b 3.899
_cell_length_c 20.043
_cell_angle_alpha 90.00
_cell_angle_beta 90.00
_cell_angle_gamma 90.00
loop_
_symmetry_equiv_pos_as_xyz
'x,y,z'
loop_
_atom_site_label
_atom_site_type_symbol
_atom_site_fract_x
_atom_site_fract_y
_atom_site_fract_z
Ti1 Ti 0.000 0.000 0.000
Ti2 Ti 0.000 0.500 0.250
Ti3 Ti 0.500 0.000 0.750
Ti4 Ti 0.500 0.500 0.500
Tl1 Tl 0.000 0.000 0.500
Tl2 Tl 0.000 0.500 0.750
Tl3 Tl 0.500 0.000 0.250
Tl4 Tl 0.500 0.500 0.000
Mo1 Mo 0.215 0.250 0.125
Mo2 Mo 0.250 0.715 0.375
Mo3 Mo 0.250 0.785 0.875
Mo4 Mo 0.285 0.250 0.625
Mo5 Mo 0.715 0.750 0.625
Mo6 Mo 0.750 0.215 0.875
Mo7 Mo 0.750 0.285 0.375
Mo8 Mo 0.785 0.750 0.125
# Spin magnetization   0.00 μB/f.u.
# Total DFT energy (no corrections)   -7.24 eV per atom
# Energy above the most stable polymorph in this dataset   19.4 kJ/mol of atoms

# ZrTiTlMo, optimized geometry, DFT PBE-GGA
data_ZrTiTlMo
_chemical_formula_sum 'Zr4 Ti4 Tl4 Mo4'
_symmetry_space_group_name_H-M 'P 1'
_symmetry_Int_Tables_number 1
_cell_length_a 6.750
_cell_length_b 6.750
_cell_length_c 6.750
_cell_angle_alpha 90.00
_cell_angle_beta 90.00
_cell_angle_gamma 90.00
loop_
_symmetry_equiv_pos_as_xyz
'x,y,z'
loop_
_atom_site_label
_atom_site_type_symbol
_atom_site_fract_x
_atom_site_fract_y
_atom_site_fract_z
Zr1 Zr 0.000 0.000 0.000
Zr2 Zr 0.000 0.500 0.500
Zr3 Zr 0.500 0.000 0.500
Zr4 Zr 0.500 0.500 0.000
Ti1 Ti 0.000 0.000 0.500
Ti2 Ti 0.000 0.500 0.000
Ti3 Ti 0.500 0.000 0.000
Ti4 Ti 0.500 0.500 0.500
Tl1 Tl 0.250 0.250 0.250
Tl2 Tl 0.250 0.750 0.750
Tl3 Tl 0.750 0.250 0.750
Tl4 Tl 0.750 0.750 0.250
Mo1 Mo 0.250 0.250 0.750
Mo2 Mo 0.250 0.750 0.250
Mo3 Mo 0.750 0.250 0.250
Mo4 Mo 0.750 0.750 0.750
# Spin magnetization   0.00 μB/f.u.
# Total DFT energy (no corrections)   -7.33 eV per atom

# TmTiMo, optimized geometry, DFT PBE-GGA
data_TmTiMo
_chemical_formula_sum 'Tm2 Ti2 Mo2'
_symmetry_space_group_name_H-M 'P 1'
_symmetry_Int_Tables_number 1
_cell_length_a 3.395
_cell_length_b 3.395
_cell_length_c 10.551
_cell_angle_alpha 90.00
_cell_angle_beta 90.00
_cell_angle_gamma 90.00
loop_
_symmetry_equiv_pos_as_xyz
'x,y,z'
loop_
_atom_site_label
_atom_site_type_symbol
_atom_site_fract_x
_atom_site_fract_y
_atom_site_fract_z
Tm1 Tm 0.000 0.000 0.000
Tm2 Tm 0.500 0.500 0.500
Ti1 Ti 0.000 0.000 0.291
Ti2 Ti 0.500 0.500 0.791
Mo1 Mo 0.000 0.000 0.687
Mo2 Mo 0.500 0.500 0.187
# Spin magnetization   0.00 μB/f.u.
# Total DFT energy (no corrections)   -7.67 eV per atom
# Energy above the most stable polymorph in this dataset   0.0 kJ/mol of atoms

# TmTiMo, optimized geometry, DFT PBE-GGA
data_TmTiMo
_chemical_formula_sum 'Tm2 Ti2 Mo2'
_symmetry_space_group_name_H-M 'P 1'
_symmetry_Int_Tables_number 1
_cell_length_a 8.340
_cell_length_b 8.340
_cell_length_c 8.340
_cell_angle_alpha 30.75
_cell_angle_beta 30.75
_cell_angle_gamma 30.75
loop_
_symmetry_equiv_pos_as_xyz
'x,y,z'
loop_
_atom_site_label
_atom_site_type_symbol
_atom_site_fract_x
_atom_site_fract_y
_atom_site_fract_z
Tm1 Tm 0.216 0.216 0.216
Tm2 Tm 0.784 0.784 0.784
Ti1 Ti 0.052 0.052 0.052
Ti2 Ti 0.948 0.948 0.948
Mo1 Mo 0.350 0.350 0.350
Mo2 Mo 0.650 0.650 0.650
# Spin magnetization   0.00 μB/f.u.
# Total DFT energy (no corrections)   -7.47 eV per atom
# Energy above the most stable polymorph in this dataset   19.5 kJ/mol of atoms

# TmTi2Mo, optimized geometry, DFT PBE-GGA
data_TmTi2Mo
_chemical_formula_sum 'Tm1 Ti2 Mo1'
_symmetry_space_group_name_H-M 'P 1'
_symmetry_Int_Tables_number 1
_cell_length_a 3.300
_cell_length_b 3.300
_cell_length_c 7.154
_cell_angle_alpha 90.00
_cell_angle_beta 90.00
_cell_angle_gamma 90.00
loop_
_symmetry_equiv_pos_as_xyz
'x,y,z'
loop_
_atom_site_label
_atom_site_type_symbol
_atom_site_fract_x
_atom_site_fract_y
_atom_site_fract_z
Tm1 Tm 0.000 0.000 0.000
Ti1 Ti 0.500 0.500 0.305
Ti2 Ti 0.500 0.500 0.695
Mo1 Mo 0.000 0.000 0.500
# Spin magnetization   0.00 μB/f.u.
# Total DFT energy (no corrections)   -7.74 eV per atom